# 1
Density functional theory data (PBEsol) for a geometry-optimized CrReAs structure.

a b c (Å): 3.976 3.976 3.976
angles (deg): 60.00 60.00 60.00
Positions (direct):
Cr  0.000  0.000  0.000
Re  0.750  0.750  0.750
As  0.250  0.250  0.250

Results
Space group   F-43m
DFT total energy   -9.4196 eV per atom

---

# 2
Density functional theory data (PBEsol) for a geometry-optimized TlTc3Pb structure.

a b c (Å): 4.936 4.936 4.936
angles (deg): 90.00 90.00 90.00
Positions (direct):
Tl  0.000  0.000  0.000
Tc  0.000  0.500  0.500
Tc  0.500  0.000  0.500
Tc  0.500  0.500  0.000
Pb  0.500  0.500  0.500

Results
Space group   Pm-3m
DFT total energy   -5.6430 eV per atom

---

no.,ΔH_f (0 K) (eV per atom)
1,0.14
2,2.44